No. 1
First-principles (GGA-PBE) data for an optimized crystal structure of SbTe2Cl, as listed in Alexandria via LeMat-Bulk.

Values from the calculation:
formation energy from raw total energies: -0.22 eV/atom
crystal system: monoclinic
space group: P2_1/c, No. 14
E above lowest polymorph: 0.039 eV per atom

Lattice parameters (Å, degrees): 7.9668 5.5552 15.1561 90.00 121.51 90.00
Fractional coordinates of all 16 atoms:
1 Sb 0.1629 0.9996 0.4126
2 Sb 0.1629 0.5004 0.9126
3 Sb 0.8371 0.0004 0.5874
4 Sb 0.8371 0.4996 0.0874
5 Te 0.1362 0.1711 0.0679
6 Te 0.1362 0.3289 0.5679
7 Te 0.4987 0.6711 0.5678
8 Te 0.4987 0.8289 0.0678
9 Te 0.5013 0.1711 0.9322
10 Te 0.5013 0.3289 0.4322
11 Te 0.8638 0.6711 0.4321
12 Te 0.8638 0.8289 0.9321
13 Cl 0.1609 0.7486 0.2500
14 Cl 0.1609 0.7514 0.7500
15 Cl 0.8391 0.2486 0.2500
16 Cl 0.8391 0.2514 0.7500

=====

No. 2
First-principles (GGA-PBE) data for an optimized crystal structure of Hf3VCo8, as listed in Alexandria via LeMat-Bulk.

Values from the calculation:
formation energy: -0.285 eV/atom
crystal system: trigonal
space group: R3m, No. 160

Lattice parameters (Å, degrees): 8.3444 8.3444 8.3444 33.48 33.48 33.48
Fractional coordinates of all 12 atoms:
1 Hf 0.0000 0.0000 0.0000
2 Hf 0.1284 0.1284 0.1284
3 Hf 0.6180 0.6180 0.6180
4 V 0.4964 0.4964 0.4964
5 Co 0.0606 0.0606 0.5604
6 Co 0.0606 0.5604 0.0606
7 Co 0.0636 0.5626 0.5626
8 Co 0.3117 0.3117 0.3117
9 Co 0.5604 0.0606 0.0606
10 Co 0.5626 0.0636 0.5626
11 Co 0.5626 0.5626 0.0636
12 Co 0.8117 0.8117 0.8117